[1]
# Ac3DyMg4 (PBE, relaxed)
data_Ac3DyMg4
_chemical_formula_sum 'Ac3 Dy1 Mg4'
_space_group_name_H-M_alt 'P 4/m m m'
_space_group_IT_number 123
_space_group_name_Hall '-P 4 2'
_cell_length_a 4.027
_cell_length_b 4.027
_cell_length_c 16.212
_cell_angle_alpha 90.00
_cell_angle_beta 90.00
_cell_angle_gamma 90.00
loop_
_atom_site_label
_atom_site_type_symbol
_atom_site_fract_x
_atom_site_fract_y
_atom_site_fract_z
Ac1 Ac 0.000 0.000 0.000
Ac2 Ac 0.000 0.000 0.262
Dy1 Dy 0.000 0.000 0.500
Mg1 Mg 0.500 0.500 0.129
Mg2 Mg 0.500 0.500 0.395
# ΔE_f, kJ per mole of atoms: -6.7
# Fermi-level density of states, states/eV/cell: 9.5
# Raw total energy, eV per atom: -2.98
# Crystal system: tetragonal

---

[2]
# Tl2RePdBr (PBE, relaxed)
data_Tl2RePdBr
_chemical_formula_sum 'Tl2 Re1 Pd1 Br1'
_space_group_name_H-M_alt 'P 4/m m m'
_space_group_IT_number 123
_space_group_name_Hall '-P 4 2'
_cell_length_a 5.989
_cell_length_b 5.989
_cell_length_c 4.709
_cell_angle_alpha 90.00
_cell_angle_beta 90.00
_cell_angle_gamma 90.00
loop_
_atom_site_label
_atom_site_type_symbol
_atom_site_fract_x
_atom_site_fract_y
_atom_site_fract_z
Tl1 Tl 0.000 0.500 0.000
Re1 Re 0.000 0.000 0.500
Pd1 Pd 0.500 0.500 0.500
Br1 Br 0.500 0.500 0.000
# Fermi-level density of states, states/eV/cell: 3.0
# Raw total energy, eV per atom: -3.42
# Crystal system: tetragonal

---

[3]
# La3Pr6Tm2In (PBE, relaxed)
data_La3Pr6Tm2In
_chemical_formula_sum 'La6 Pr12 Tm4 In2'
_space_group_name_H-M_alt 'C 1 2/m 1'
_space_group_IT_number 12
_cell_length_a 6.312
_cell_length_b 10.997
_cell_length_c 11.950
_cell_angle_alpha 90.00
_cell_angle_beta 100.56
_cell_angle_gamma 90.00
loop_
_space_group_symop_operation_xyz
'x,y,z'
'-x,-y,-z'
'-x,y,-z'
'x,-y,z'
'x+1/2,y+1/2,z'
'-x+1/2,-y+1/2,-z'
'-x+1/2,y+1/2,-z'
'x+1/2,-y+1/2,z'
loop_
_atom_site_label
_atom_site_type_symbol
_atom_site_fract_x
_atom_site_fract_y
_atom_site_fract_z
La1 La 0.000 0.000 0.000
La2 La 0.000 0.328 0.000
Pr1 Pr 0.241 0.337 0.740
Pr2 Pr 0.247 0.500 0.258
Tm1 Tm 0.000 0.166 0.500
In1 In 0.000 0.500 0.500
# ΔE_f, kJ per mole of atoms: -2.4
# Fermi-level density of states, states/eV/cell: 34.2
# Raw total energy, eV per atom: -4.62
# Crystal system: monoclinic

---

[4]
# Li4Tl3In4 (PBE, relaxed)
data_Li4Tl3In4
_chemical_formula_sum 'Li4 Tl3 In4'
_space_group_name_H-M_alt 'P -1'
_space_group_IT_number 2
_cell_length_a 3.524
_cell_length_b 4.044
_cell_length_c 18.293
_cell_angle_alpha 83.87
_cell_angle_beta 84.63
_cell_angle_gamma 89.86
loop_
_space_group_symop_operation_xyz
'x,y,z'
'-x,-y,-z'
loop_
_atom_site_label
_atom_site_type_symbol
_atom_site_fract_x
_atom_site_fract_y
_atom_site_fract_z
Li1 Li 0.042 0.043 0.411
Li2 Li 0.315 0.316 0.866
Tl1 Tl 0.137 0.138 0.223
Tl2 Tl 0.500 0.500 0.500
In1 In 0.231 0.229 0.044
In2 In 0.411 0.411 0.679
# ΔE_f, kJ per mole of atoms: -13.4
# Fermi-level density of states, states/eV/cell: 4.4
# Raw total energy, eV per atom: -2.48
# Crystal system: triclinic

---

Q: Which of these has the highest raw total energy?
A: Li4Tl3In4